The following is a DFT calculation (PBE) of a geometry-optimized CaYZn17 structure. Values from VASP.

* V: 310 Å³ per cell
* total DFT energy (no corrections): -1.79 eV/atom
* size of the total moment: 0.00 μB/f.u.
* energy of formation from the pure elements: -3.93 eV per formula unit

Structure (Quantum ESPRESSO input):
```
&SYSTEM
  ibrav = 0, nat = 19, ntyp = 3
/
ATOMIC_SPECIES
Zn 65.41 Zn.upf
Ca 40.08 Ca.upf
Y 88.91 Y.upf
ATOMIC_POSITIONS crystal
Zn 0.000 0.000 0.500
Zn 0.649 0.160 0.649
Zn 0.000 0.500 0.000
Zn 0.000 0.703 0.297
Zn 0.836 0.353 0.353
Zn 0.000 0.297 0.703
Zn 0.353 0.353 0.836
Zn 0.649 0.649 0.160
Zn 0.900 0.900 0.900
Zn 0.297 0.703 0.000
Zn 0.160 0.649 0.649
Ca 0.337 0.337 0.337
Y 0.665 0.665 0.665
Zn 0.703 0.297 0.000
Zn 0.353 0.836 0.353
Zn 0.297 0.000 0.703
Zn 0.099 0.099 0.099
Zn 0.703 0.000 0.297
Zn 0.500 0.000 0.000
CELL_PARAMETERS angstrom
-2.877 -1.217 6.058
-1.327 -6.609 -1.007
5.553 -2.459 3.095
```